Entry 1:
{"formula": "Ca2SnPd2", "functional": "PBE-GGA", "state": "relaxed", "delta_e_f_kj_per_mol_atoms": -47.0, "spacegroup": "I4/mmm, No. 139", "lattice_angstrom": [[-0.092, -2.985, -2.284], [3.329, 0.996, -1.436], [5.729, -5.841, 4.308]], "species": ["Pd", "Pd", "Ca", "Sn", "Ca"], "fractional_positions": [[0.750, 0.250, 0.500], [0.250, 0.750, 0.500], [0.619, 0.619, 0.762], [0.000, 0.000, 0.000], [0.381, 0.381, 0.238]]}

---

Entry 2:
{"formula": "Re3AsPd", "functional": "PBE-GGA", "state": "relaxed", "de_polymorph_kcal_per_mol_atoms": 0.00, "delta_e_f_kj_per_mol_atoms": 161.4, "spacegroup": "Pm-3m, No. 221", "lattice_angstrom": [[-1.667, -3.112, 2.806], [3.352, 0.822, 2.903], [-2.515, 3.159, 2.010]], "species": ["Pd", "As", "Re", "Re", "Re"], "fractional_positions": [[0.500, 0.500, 0.500], [0.000, 0.000, 0.000], [0.500, 0.000, 0.000], [0.000, 0.500, 0.000], [0.000, 0.000, 0.500]]}

---

Entry 3:
{"formula": "PdSe2I", "functional": "PBE-GGA", "state": "relaxed", "de_polymorph_kcal_per_mol_atoms": 5.17, "spacegroup": "I4_1/amd, No. 141", "formation_energy_uncorrected_ev_per_atom": 0.038, "lattice_angstrom": [[-2.155, 5.190, -0.556], [-4.025, -1.269, 3.751], [0.467, 3.917, 6.076]], "species": ["I", "Pd", "I", "Pd", "Se", "Se", "Se", "Se"], "fractional_positions": [[0.000, 0.000, 0.000], [0.250, 0.750, 0.500], [0.750, 0.250, 0.500], [0.500, 0.500, 0.000], [0.293, 0.293, 0.413], [0.457, 0.957, 0.087], [0.043, 0.543, 0.913], [0.707, 0.707, 0.587]]}

---

Entry 4:
{"formula": "La8Os3Cl3O", "functional": "PBE-GGA", "state": "relaxed", "spacegroup": "R-3m, No. 166", "formation_energy_uncorrected_ev_per_atom": -1.049, "lattice_angstrom": [[-0.949, 6.708, 4.639], [-3.987, -0.649, -7.150], [-2.823, -5.065, 6.749]], "species": ["Cl", "La", "Os", "Os", "La", "La", "Cl", "La", "La", "Os", "O", "La", "Cl", "La", "La"], "fractional_positions": [[0.000, 0.000, 0.000], [0.262, 0.524, 0.286], [0.500, 0.500, 0.500], [0.500, 0.000, 0.500], [0.259, 0.031, 0.304], [0.228, 0.969, 0.696], [0.000, 0.500, 0.000], [0.741, 0.969, 0.696], [0.738, 0.476, 0.714], [0.000, 0.500, 0.500], [0.000, 0.000, 0.500], [0.772, 0.544, 0.304], [0.500, 0.500, 0.000], [0.228, 0.456, 0.696], [0.772, 0.031, 0.304]]}

---

Entry 5:
{"formula": "InFeSi2", "functional": "PBE-GGA", "state": "relaxed", "spacegroup": "C2/m, No. 12", "formation_energy_uncorrected_ev_per_atom": 0.518, "lattice_angstrom": [[-2.521, 1.676, 3.404], [-2.933, -1.625, -4.541], [-0.852, -2.782, 0.495]], "species": ["Si", "Si", "In", "Fe"], "fractional_positions": [[0.000, 0.000, 0.000], [0.500, 0.000, 0.500], [0.500, 0.500, 0.000], [0.000, 0.500, 0.500]]}

---

Entry 6:
{"formula": "RbSr2TiO4", "functional": "PBE-GGA", "state": "relaxed", "spacegroup": "Cmcm, No. 63", "formation_energy_uncorrected_ev_per_atom": -2.482, "lattice_angstrom": [[3.659, 0.000, 0.000], [-1.830, 6.530, 0.000], [0.000, 0.000, 12.681]], "species": ["Ti", "Rb", "O", "O", "O", "Sr", "O", "O", "O", "Sr", "Rb", "Sr", "Ti", "O", "Sr", "O"], "fractional_positions": [[0.807, 0.614, 0.750], [0.925, 0.850, 0.250], [0.000, 0.000, 0.500], [0.250, 0.500, 0.115], [0.630, 0.260, 0.250], [0.371, 0.743, 0.536], [0.000, 0.000, 0.000], [0.250, 0.500, 0.385], [0.750, 0.500, 0.885], [0.629, 0.257, 0.464], [0.075, 0.150, 0.750], [0.629, 0.257, 0.036], [0.193, 0.386, 0.250], [0.370, 0.740, 0.750], [0.371, 0.743, 0.964], [0.750, 0.500, 0.615]]}

---

Entry 7:
{"formula": "Sr2IrAuS", "functional": "PBE-GGA", "state": "relaxed", "spacegroup": "P4/mmm, No. 123", "formation_energy_uncorrected_ev_per_atom": -0.638, "lattice_angstrom": [[-1.673, 2.819, 4.714], [-4.060, -0.092, -1.386], [-0.810, -5.001, 2.703]], "species": ["Ir", "Au", "Sr", "S", "Sr"], "fractional_positions": [[0.000, 0.500, 0.000], [0.500, 0.500, 0.500], [0.500, 0.000, 0.000], [0.000, 0.000, 0.000], [0.000, 0.000, 0.500]]}

---

Entry 8:
{"formula": "ZnGe2Br6", "functional": "PBE-GGA", "state": "relaxed", "spacegroup": "C2/c, No. 15", "formation_energy_uncorrected_ev_per_atom": -0.640, "lattice_angstrom": [[5.900, -0.034, -1.630], [-4.046, 9.696, -3.210], [-0.185, -0.418, 10.976]], "species": ["Br", "Br", "Br", "Br", "Br", "Br", "Br", "Br", "Zn", "Ge", "Ge", "Zn", "Br", "Ge", "Br", "Ge", "Br", "Br"], "fractional_positions": [[0.865, 0.784, 0.982], [0.126, 0.876, 0.385], [0.178, 0.546, 0.721], [0.322, 0.279, 0.454], [0.635, 0.018, 0.216], [0.135, 0.216, 0.018], [0.374, 0.615, 0.124], [0.678, 0.721, 0.546], [0.250, 0.184, 0.816], [0.398, 0.452, 0.253], [0.102, 0.747, 0.548], [0.750, 0.816, 0.184], [0.822, 0.454, 0.279], [0.898, 0.253, 0.452], [0.874, 0.124, 0.615], [0.602, 0.548, 0.747], [0.626, 0.385, 0.876], [0.365, 0.982, 0.784]]}

---

Entry 9:
{"formula": "CdAuBr3", "functional": "PBE-GGA", "state": "relaxed", "spacegroup": "Pm-3m, No. 221", "formation_energy_uncorrected_ev_per_atom": -0.031, "lattice_angstrom": [[5.323, 0.000, 0.000], [0.000, 5.323, 0.000], [0.000, 0.000, 5.323]], "species": ["Br", "Br", "Cd", "Au", "Br"], "fractional_positions": [[0.000, 0.500, 0.000], [0.000, 0.000, 0.500], [0.500, 0.500, 0.500], [0.000, 0.000, 0.000], [0.500, 0.000, 0.000]]}

---

Entry 10:
{"formula": "SrCo2As", "functional": "PBE-GGA", "state": "relaxed", "delta_e_f_kj_per_mol_atoms": 41.5, "spacegroup": "F-43m, No. 216", "lattice_angstrom": [[-1.585, -3.246, -2.995], [2.977, -2.150, -2.922], [1.075, -4.521, 0.654]], "species": ["Sr", "Co", "As", "Co"], "fractional_positions": [[0.750, 0.750, 0.750], [0.250, 0.250, 0.250], [0.500, 0.500, 0.500], [0.000, 0.000, 0.000]]}

---

Entry 11:
{"formula": "TcIO5", "functional": "PBE-GGA", "state": "relaxed", "spacegroup": "Cc, No. 9", "formation_energy_uncorrected_ev_per_atom": -0.829, "lattice_angstrom": [[6.319, 2.977, 2.556], [1.171, 6.886, 2.556], [5.332, 7.021, 11.488]], "species": ["I", "O", "O", "O", "O", "O", "I", "O", "Tc", "O", "O", "O", "Tc", "O"], "fractional_positions": [[0.162, 0.628, 0.803], [0.108, 0.311, 0.806], [0.166, 0.620, 0.459], [0.758, 0.549, 0.065], [0.780, 0.862, 0.642], [0.620, 0.166, 0.959], [0.628, 0.162, 0.303], [0.862, 0.780, 0.142], [0.034, 0.937, 0.430], [0.311, 0.108, 0.306], [0.549, 0.758, 0.565], [0.897, 0.189, 0.295], [0.937, 0.034, 0.930], [0.189, 0.897, 0.795]]}

---

Entry 12:
{"formula": "SeBr3", "functional": "PBE-GGA", "state": "relaxed", "spacegroup": "C2/m, No. 12", "formation_energy_uncorrected_ev_per_atom": 0.224, "lattice_angstrom": [[-4.320, 0.067, 0.584], [-2.099, -2.938, -2.444], [0.965, -4.994, 5.666]], "species": ["Br", "Br", "Se", "Br"], "fractional_positions": [[0.500, 0.500, 0.500], [0.276, 0.276, 0.205], [0.000, 0.000, 0.000], [0.724, 0.724, 0.795]]}

---

| no. | size of the total moment (μB/cell) |
| --- | --- |
| 1 | 0.0 |
| 2 | 0.0 |
| 3 | 0.0 |
| 4 | 0.5 |
| 5 | 2.5 |
| 6 | 2.0 |
| 7 | 0.0 |
| 8 | 0.0 |
| 9 | 0.4 |
| 10 | 3.4 |
| 11 | 0.0 |
| 12 | 0.0 |